This record from Alexandria describes a relaxed GdDyMgPa crystal. The functional is PBE.

Values from the calculation:
- formation energy from the elements (eV/atom) = 0.331
- DOS(E_F) (states/eV per atom) = 1.9242

Structure (CIF):
```
data_GdDyMgPa
_chemical_formula_sum 'Gd4 Dy4 Mg4 Pa4'
_space_group_name_H-M_alt 'F -4 3 m'
_space_group_IT_number 216
_space_group_name_Hall 'F -4 2 3'
_cell_length_a 7.672
_cell_length_b 7.672
_cell_length_c 7.672
_cell_angle_alpha 90.00
_cell_angle_beta 90.00
_cell_angle_gamma 90.00
loop_
_atom_site_label
_atom_site_type_symbol
_atom_site_fract_x
_atom_site_fract_y
_atom_site_fract_z
_atom_site_occupancy
Gd1 Gd 0.000 0.000 0.000 1
Dy1 Dy 0.000 0.000 0.500 1
Mg1 Mg 0.250 0.250 0.750 1
Pa1 Pa 0.250 0.250 0.250 1
```


This record from Alexandria describes a relaxed CsK2InBi2 crystal. The functional is PBE.

Values from the calculation:
- formation energy from the elements (eV/atom) = -0.348
- DOS(E_F) (states/eV per atom) = 0.3447

Structure (CIF):
```
data_CsK2InBi2
_chemical_formula_sum 'Cs4 K8 In4 Bi8'
_space_group_name_H-M_alt 'I b a m'
_space_group_IT_number 72
_space_group_name_Hall '-I 2 2c'
_cell_length_a 9.690
_cell_length_b 14.669
_cell_length_c 8.012
_cell_angle_alpha 90.00
_cell_angle_beta 90.00
_cell_angle_gamma 90.00
loop_
_atom_site_label
_atom_site_type_symbol
_atom_site_fract_x
_atom_site_fract_y
_atom_site_fract_z
_atom_site_occupancy
Cs1 Cs 0.000 0.000 0.250 1
K1 K 0.166 0.322 0.000 1
In1 In 0.000 0.500 0.250 1
Bi1 Bi 0.183 0.402 0.500 1
```


This record from Alexandria describes a relaxed Cu2AuCl crystal. The functional is PBE.

Values from the calculation:
- DOS(E_F) (states/eV per atom) = 0.0759
- electronic total energy (eV/atom) = -3.04

Structure (CIF):
```
data_Cu2AuCl
_chemical_formula_sum 'Cu8 Au4 Cl4'
_space_group_name_H-M_alt 'F m -3 m'
_space_group_IT_number 225
_space_group_name_Hall '-F 4 2 3'
_cell_length_a 6.366
_cell_length_b 6.366
_cell_length_c 6.366
_cell_angle_alpha 90.00
_cell_angle_beta 90.00
_cell_angle_gamma 90.00
loop_
_atom_site_label
_atom_site_type_symbol
_atom_site_fract_x
_atom_site_fract_y
_atom_site_fract_z
_atom_site_occupancy
Cu1 Cu 0.250 0.250 0.250 1
Au1 Au 0.000 0.000 0.000 1
Cl1 Cl 0.000 0.000 0.500 1
```


This record from Alexandria describes a relaxed Sr2ZrGaO6 crystal. The functional is PBE.

Values from the calculation:
- DOS(E_F) (states/eV per atom) = 0.5354
- electronic total energy (eV/atom) = -7.04

Structure (CIF):
```
data_Sr2ZrGaO6
_chemical_formula_sum 'Sr2 Zr1 Ga1 O6'
_space_group_name_H-M_alt 'P 4/m m m'
_space_group_IT_number 123
_space_group_name_Hall '-P 4 2'
_cell_length_a 4.125
_cell_length_b 4.125
_cell_length_c 8.061
_cell_angle_alpha 90.00
_cell_angle_beta 90.00
_cell_angle_gamma 90.00
loop_
_atom_site_label
_atom_site_type_symbol
_atom_site_fract_x
_atom_site_fract_y
_atom_site_fract_z
_atom_site_occupancy
Sr1 Sr 0.000 0.000 0.229 1
Zr1 Zr 0.500 0.500 0.500 1
Ga1 Ga 0.500 0.500 0.000 1
O1 O 0.000 0.500 0.000 1
O2 O 0.000 0.500 0.500 1
O3 O 0.500 0.500 0.238 1
```


This record from Alexandria describes a relaxed CaAc12Ge6 crystal. The functional is PBE.

Values from the calculation:
- formation energy from the elements (eV/atom) = -0.348
- DOS(E_F) (states/eV per atom) = 1.1982

Structure (CIF):
```
data_CaAc12Ge6
_chemical_formula_sum 'Ca3 Ac36 Ge18'
_space_group_name_H-M_alt 'R -3 m'
_space_group_IT_number 166
_space_group_name_Hall '-R 3 2"'
_cell_length_a 14.7976
_cell_length_b 14.7976
_cell_length_c 11.7968
_cell_angle_alpha 90.00
_cell_angle_beta 90.00
_cell_angle_gamma 120.00
loop_
_atom_site_label
_atom_site_type_symbol
_atom_site_fract_x
_atom_site_fract_y
_atom_site_fract_z
_atom_site_occupancy
Ca1 Ca 0.0000 0.0000 0.0000 1
Ac1 Ac 0.0000 0.3728 0.5000 1
Ac2 Ac 0.0896 0.1793 0.3574 1
Ge1 Ge 0.0406 0.5203 0.2731 1
```


This record from Alexandria describes a relaxed Y2FeAg crystal. The functional is PBE.

Values from the calculation:
- formation energy from the elements (eV/atom) = 0.043
- DOS(E_F) (states/eV per atom) = 1.3479

Structure (CIF):
```
data_Y2FeAg
_chemical_formula_sum 'Y4 Fe2 Ag2'
_space_group_name_H-M_alt 'C 1 m 1'
_space_group_IT_number 8
_space_group_name_Hall 'C -2y'
_cell_length_a 11.968
_cell_length_b 3.408
_cell_length_c 4.832
_cell_angle_alpha 90.00
_cell_angle_beta 113.77
_cell_angle_gamma 90.00
loop_
_atom_site_label
_atom_site_type_symbol
_atom_site_fract_x
_atom_site_fract_y
_atom_site_fract_z
_atom_site_occupancy
Y1 Y 0.000 0.000 0.000 1
Y2 Y 0.207 0.000 0.706 1
Fe1 Fe 0.473 0.000 0.468 1
Ag1 Ag 0.280 0.500 0.279 1
```


This record from Alexandria describes a relaxed Dy6Ho2Er3Pb crystal. The functional is PBE.

Values from the calculation:
- formation energy from the elements (eV/atom) = -0.048
- DOS(E_F) (states/eV per atom) = 1.2430

Structure (CIF):
```
data_Dy6Ho2Er3Pb
_chemical_formula_sum 'Dy12 Ho4 Er6 Pb2'
_space_group_name_H-M_alt 'C 1 2/m 1'
_space_group_IT_number 12
_space_group_name_Hall '-C 2y'
_cell_length_a 6.068
_cell_length_b 10.516
_cell_length_c 11.631
_cell_angle_alpha 90.00
_cell_angle_beta 100.06
_cell_angle_gamma 90.00
loop_
_atom_site_label
_atom_site_type_symbol
_atom_site_fract_x
_atom_site_fract_y
_atom_site_fract_z
_atom_site_occupancy
Dy1 Dy 0.247 0.000 0.249 1
Dy2 Dy 0.248 0.165 0.749 1
Ho1 Ho 0.000 0.334 0.500 1
Er1 Er 0.000 0.167 0.000 1
Er2 Er 0.000 0.500 0.000 1
Pb1 Pb 0.000 0.000 0.500 1
```


This record from Alexandria describes a relaxed Ir3OsRh crystal. The functional is PBE.

Values from the calculation:
- formation energy from the elements (eV/atom) = 0.436
- DOS(E_F) (states/eV per atom) = 0.9237

Structure (CIF):
```
data_Ir3OsRh
_chemical_formula_sum 'Ir12 Os4 Rh4'
_space_group_name_H-M_alt 'P 1 21/c 1'
_space_group_IT_number 14
_space_group_name_Hall '-P 2ybc'
_cell_length_a 5.372
_cell_length_b 7.245
_cell_length_c 8.609
_cell_angle_alpha 90.00
_cell_angle_beta 95.84
_cell_angle_gamma 90.00
loop_
_atom_site_label
_atom_site_type_symbol
_atom_site_fract_x
_atom_site_fract_y
_atom_site_fract_z
_atom_site_occupancy
Ir1 Ir 0.026 0.071 0.350 1
Ir2 Ir 0.160 0.598 0.592 1
Ir3 Ir 0.351 0.114 0.876 1
Os1 Os 0.172 0.238 0.610 1
Rh1 Rh 0.366 0.745 0.849 1
```


This record from Alexandria describes a relaxed KTlSn crystal. The functional is PBE.

Values from the calculation:
- formation energy from the elements (eV/atom) = -0.188
- DOS(E_F) (states/eV per atom) = 0.1893

Structure (CIF):
```
data_KTlSn
_chemical_formula_sum 'K2 Tl2 Sn2'
_space_group_name_H-M_alt 'P -1'
_space_group_IT_number 2
_space_group_name_Hall '-P 1'
_cell_length_a 4.878
_cell_length_b 4.880
_cell_length_c 8.837
_cell_angle_alpha 89.97
_cell_angle_beta 89.99
_cell_angle_gamma 89.99
loop_
_atom_site_label
_atom_site_type_symbol
_atom_site_fract_x
_atom_site_fract_y
_atom_site_fract_z
_atom_site_occupancy
K1 K 0.250 0.250 0.167 1
Tl1 Tl 0.250 0.250 0.738 1
Sn1 Sn 0.250 0.750 0.500 1
```


This record from Alexandria describes a relaxed OsPt2PbSe crystal. The functional is PBE.

Values from the calculation:
- DOS(E_F) (states/eV per atom) = 0.7019
- electronic total energy (eV/atom) = -4.12

Structure (CIF):
```
data_OsPt2PbSe
_chemical_formula_sum 'Os1 Pt2 Pb1 Se1'
_space_group_name_H-M_alt 'P 4/m m m'
_space_group_IT_number 123
_space_group_name_Hall '-P 4 2'
_cell_length_a 5.039
_cell_length_b 5.039
_cell_length_c 5.109
_cell_angle_alpha 90.00
_cell_angle_beta 90.00
_cell_angle_gamma 90.00
loop_
_atom_site_label
_atom_site_type_symbol
_atom_site_fract_x
_atom_site_fract_y
_atom_site_fract_z
_atom_site_occupancy
Os1 Os 0.000 0.000 0.000 1
Pt1 Pt 0.000 0.500 0.500 1
Pb1 Pb 0.000 0.000 0.500 1
Se1 Se 0.500 0.500 0.000 1
```


This record from Alexandria describes a relaxed K2PuBr4F2 crystal. The functional is PBE.

Values from the calculation:
- DOS(E_F) (states/eV per atom) = 0.5341
- electronic total energy (eV/atom) = -5.09

Structure (CIF):
```
data_K2PuBr4F2
_chemical_formula_sum 'K4 Pu2 Br8 F4'
_space_group_name_H-M_alt 'C 1 2/m 1'
_space_group_IT_number 12
_space_group_name_Hall '-C 2y'
_cell_length_a 12.017
_cell_length_b 7.956
_cell_length_c 5.851
_cell_angle_alpha 90.00
_cell_angle_beta 101.51
_cell_angle_gamma 90.00
loop_
_atom_site_label
_atom_site_type_symbol
_atom_site_fract_x
_atom_site_fract_y
_atom_site_fract_z
_atom_site_occupancy
K1 K 0.177 0.000 0.327 1
Pu1 Pu 0.000 0.500 0.000 1
Br1 Br 0.105 0.242 0.795 1
F1 F 0.138 0.500 0.281 1
```


This record from Alexandria describes a relaxed LuTlCuNi crystal. The functional is PBE.

Values from the calculation:
- formation energy from the elements (eV/atom) = -0.171
- DOS(E_F) (states/eV per atom) = 0.9127

Structure (CIF):
```
data_LuTlCuNi
_chemical_formula_sum 'Lu4 Tl4 Cu4 Ni4'
_space_group_name_H-M_alt 'F -4 3 m'
_space_group_IT_number 216
_space_group_name_Hall 'F -4 2 3'
_cell_length_a 6.546
_cell_length_b 6.546
_cell_length_c 6.546
_cell_angle_alpha 90.00
_cell_angle_beta 90.00
_cell_angle_gamma 90.00
loop_
_atom_site_label
_atom_site_type_symbol
_atom_site_fract_x
_atom_site_fract_y
_atom_site_fract_z
_atom_site_occupancy
Lu1 Lu 0.000 0.000 0.000 1
Tl1 Tl 0.000 0.000 0.500 1
Cu1 Cu 0.250 0.250 0.750 1
Ni1 Ni 0.250 0.250 0.250 1
```


- Among the records above, which one has the highest DOS(E_F)?
  GdDyMgPa


- Look up the DOS(E_F) of the fifth one.
  1.1982 states/eV per atom